(1)
Sc3MnCr: relaxed, PBE-GGA.

Values from the calculation:
E above lowest polymorph: 0.152 eV per atom
Total DFT energy (no corrections): -32.86 eV/cell

Lattice parameters (Å, degrees): 4.7121 4.7121 4.7121 90.00 90.00 90.00
Space group Pm-3m (No. 221)
One atom of each set of equivalent atoms:
Sc 0.0000 0.0000 0.5000 [3 per cell]
Mn 0.5000 0.5000 0.5000 [1 per cell]
Cr 0.0000 0.0000 0.0000 [1 per cell]

---

(2)
Pr2ScGe4Pt3: relaxed, PBE-GGA.

Values from the calculation:
Total DFT energy (no corrections): -61.99 eV/cell

Lattice parameters (Å, degrees): 4.2956 4.2956 11.0070 90.00 90.00 90.00
Space group P-4m2 (No. 115)
One atom of each set of equivalent atoms:
Pr 0.0000 0.5000 0.2391 [2 per cell]
Sc 0.0000 0.0000 0.5000 [1 per cell]
Ge 0.0000 0.0000 0.0000 [1 per cell]
Ge 0.0000 0.5000 0.6499 [2 per cell]
Ge 0.5000 0.5000 0.0000 [1 per cell]
Pt 0.0000 0.5000 0.8781 [2 per cell]
Pt 0.5000 0.5000 0.5000 [1 per cell]

---

(3)
Ca4Ge3Pt: relaxed, PBE-GGA.

Values from the calculation:
Total DFT energy (no corrections): -33.62 eV/cell

Lattice parameters (Å, degrees): 4.0848 4.5414 10.8022 90.00 90.00 90.00
Space group Pmm2 (No. 25)
One atom of each set of equivalent atoms:
Ca 0.0000 0.0000 0.0000 [1 per cell]
Ca 0.0000 0.5000 0.4887 [1 per cell]
Ca 0.5000 0.0000 0.7120 [1 per cell]
Ca 0.5000 0.5000 0.2135 [1 per cell]
Ge 0.0000 0.5000 0.7753 [1 per cell]
Ge 0.5000 0.0000 0.4215 [1 per cell]
Ge 0.5000 0.5000 0.9249 [1 per cell]
Pt 0.0000 0.0000 0.2871 [1 per cell]

---

(4)
Tb5Pr2NdTh: relaxed, PBE-GGA.

Values from the calculation:
Total DFT energy (no corrections): -173.91 eV/cell

Lattice parameters (Å, degrees): 5.6951 20.2672 10.5743 90.00 90.00 90.00
Space group Cmc2_1 (No. 36)
One atom of each set of equivalent atoms:
Tb 0.0000 0.0166 0.9996 [4 per cell]
Tb 0.0000 0.2766 0.2926 [4 per cell]
Tb 0.0000 0.2980 0.6847 [4 per cell]
Tb 0.0000 0.3885 0.0000 [4 per cell]
Tb 0.0000 0.4789 0.7140 [4 per cell]
Pr 0.0000 0.1148 0.2964 [4 per cell]
Pr 0.0000 0.1168 0.7045 [4 per cell]
Nd 0.0000 0.4121 0.4266 [4 per cell]
Th 0.0000 0.2014 0.9896 [4 per cell]

---

(5)
Ho5Co3: relaxed, PBE-GGA.

Values from the calculation:
Total DFT energy (no corrections): -182.73 eV/cell

Lattice parameters (Å, degrees): 7.0257 7.0257 14.1520 90.00 90.00 90.00
Space group I4/mcm (No. 140)
One atom of each set of equivalent atoms:
Ho 0.0000 0.0000 0.0000 [4 per cell]
Ho 0.1776 0.3224 0.1433 [16 per cell]
Co 0.0000 0.0000 0.2500 [4 per cell]
Co 0.1132 0.3868 0.5000 [8 per cell]

---

(6)
Sr2LiSi3: relaxed, PBE-GGA.

Values from the calculation:
Total DFT energy (no corrections): -193.64 eV/cell
Formation energy without anion corrections: -0.443 eV per atom

Lattice parameters (Å, degrees): 8.5772 9.1286 14.7471 90.00 90.00 90.00
Space group Fmmm (No. 69)
One atom of each set of equivalent atoms:
Sr 0.0000 0.2470 0.0000 [8 per cell]
Sr 0.2500 0.2500 0.2500 [8 per cell]
Li 0.0000 0.0000 0.3334 [8 per cell]
Si 0.0000 0.0000 0.1609 [8 per cell]
Si 0.2430 0.0000 0.0808 [16 per cell]

---

(7)
FeAgSb2: relaxed, PBE-GGA.

Values from the calculation:
E above lowest polymorph: 0.170 eV per atom
Total DFT energy (no corrections): -18.24 eV/cell
Formation energy without anion corrections: 0.331 eV per atom

Lattice parameters (Å, degrees): 4.4928 3.4738 5.7084 90.00 108.77 90.00
Space group P2/m (No. 10)
One atom of each set of equivalent atoms:
Fe 0.0000 0.0000 0.0000 [1 per cell]
Ag 0.5000 0.5000 0.5000 [1 per cell]
Sb 0.0000 0.0000 0.5000 [1 per cell]
Sb 0.5000 0.5000 0.0000 [1 per cell]

---

(8)
Cs2TlCuBr6: relaxed, PBE-GGA.

Values from the calculation:
Total DFT energy (no corrections): -113.05 eV/cell
Formation energy without anion corrections: -1.006 eV per atom

Lattice parameters (Å, degrees): 11.0833 11.0833 11.0833 90.00 90.00 90.00
Space group Fm-3m (No. 225)
One atom of each set of equivalent atoms:
Cs 0.2500 0.2500 0.2500 [8 per cell]
Tl 0.0000 0.0000 0.0000 [4 per cell]
Cu 0.0000 0.0000 0.5000 [4 per cell]
Br 0.0000 0.0000 0.2639 [24 per cell]

---

Question: Which of these has the highest total DFT energy (no corrections)?
Answer: FeAgSb2